(a)
Computed, not measured: a relaxed structure of Y2InSb2 at the PBE level of DFT.

Calculated values
- DOS(E_F) (states/eV per cell) = 3.95
- ρ (g cm⁻³) = 6.3
- magnetization (μB/f.u.) = 0.00

Lattice parameters (Å, degrees): 8.365 8.365 4.050 90.00 90.00 90.00
Fractional coordinates of all 10 atoms:
Y (0.155, 0.345, 0.000)
Y (0.345, 0.845, 0.000)
Y (0.655, 0.155, 0.000)
Y (0.845, 0.655, 0.000)
In (0.000, 0.000, 0.500)
In (0.500, 0.500, 0.500)
Sb (0.147, 0.647, 0.500)
Sb (0.353, 0.147, 0.500)
Sb (0.647, 0.853, 0.500)
Sb (0.853, 0.353, 0.500)

(b)
Computed, not measured: a relaxed structure of Y2InSb2 at the PBE level of DFT.

Calculated values
- DOS(E_F) (states/eV per cell) = 8.43
- ρ (g cm⁻³) = 6.3
- magnetization (μB/f.u.) = 0.00

Lattice parameters (Å, degrees): 8.363 8.363 4.066 90.00 90.00 90.00
Fractional coordinates of all 10 atoms:
Y (0.147, 0.353, 0.000)
Y (0.353, 0.853, 0.000)
Y (0.647, 0.147, 0.000)
Y (0.853, 0.647, 0.000)
In (0.000, 0.000, 0.000)
In (0.500, 0.500, 0.000)
Sb (0.158, 0.658, 0.500)
Sb (0.342, 0.158, 0.500)
Sb (0.658, 0.842, 0.500)
Sb (0.842, 0.342, 0.500)

Relative to the most stable structure, the computed energies are (a) 0; (b) 50, all in meV/atom.